A geometry-optimized Sm2ZrSc structure, computed with PBE.

Results
Energy above the most stable polymorph in this dataset ... 0 kJ/mol of formula units
Calculated volume ... 27.9 Å³/atom
Raw total energy ... -23.88 eV/cell
Calculated formation energy ... 108 meV/atom
ρ ... 6.492 g/cm³
D(E_F) ... 1.20 states/eV/atom
Space-group type ... P4/mmm

Geometry as extended XYZ:
```
4
Lattice="4.803 0.000 0.000 0.000 4.824 0.000 0.000 0.000 4.824" Properties=species:S:1:pos:R:3 pbc="T T T"
Sc 2.401 0.000 0.000
Zr 2.401 2.412 2.412
Sm 0.000 0.000 2.412
Sm 0.000 2.412 0.000
```